(1)
Tb2Al4HgAu3: optimized geometry, GGA-PBE.

Calculated values
SG = No. 115
ΔE_f = -0.62 eV per atom
energy = -40.5 eV for the cell shown
density of states at the Fermi level = 0.447 states/eV/atom
M_tot = 0.00 μB/cell

Lattice parameters (Å, degrees): 4.356 4.356 10.691 90.00 90.00 90.00
Fractional positions:
1 Tb 0.500 0.000 0.247
2 Tb 0.000 0.500 0.753
3 Al 0.500 0.500 0.000
4 Al 0.000 0.000 0.000
5 Al 0.500 0.000 0.642
6 Al 0.000 0.500 0.358
7 Hg 0.500 0.500 0.500
8 Au 0.000 0.000 0.500
9 Au 0.500 0.000 0.871
10 Au 0.000 0.500 0.129

=====

(2)
DyTm4Te5: optimized geometry, GGA-PBE.

Calculated values
E above lowest polymorph = 6 meV/atom
SG = No. 79
energy = -50.1 eV for the cell shown
density of states at the Fermi level = 0.563 states/eV/atom
raw formation energy = -1.188 eV per atom
M_tot = 0.00 μB/cell

Lattice parameters (Å, degrees): 6.102 7.464 7.464 80.38 65.87 65.87
Fractional positions:
1 Dy 0.002 0.000 0.000
2 Tm 0.396 0.398 0.811
3 Tm 0.794 0.811 0.602
4 Tm 0.208 0.189 0.398
5 Tm 0.605 0.602 0.189
6 Te 0.904 0.403 0.791
7 Te 0.307 0.791 0.597
8 Te 0.695 0.209 0.403
9 Te 0.098 0.597 0.209
10 Te 0.502 0.000 0.000

=====

(3)
RbSr2Si: optimized geometry, GGA-PBE.

Calculated values
SG = No. 122
energy = -18.7 eV for the cell shown
density of states at the Fermi level = 0.666 states/eV/atom
raw formation energy = 0.107 eV per atom
M_tot = 0.00 μB/cell

Lattice parameters (Å, degrees): 10.194 10.194 8.171 51.41 51.41 90.00
Fractional positions:
1 Sr 0.514 0.125 0.250
2 Sr 0.236 0.625 0.250
3 Sr 0.375 0.486 0.750
4 Sr 0.875 0.764 0.750
5 Si 0.500 0.500 0.000
6 Si 0.250 0.750 0.500
7 Rb 0.000 0.000 0.000
8 Rb 0.750 0.250 0.500

=====

(4)
Mn2TcAu: optimized geometry, GGA-PBE.

Calculated values
SG = No. 160
ΔE_f = 0.26 eV per atom
energy = -31.0 eV for the cell shown
density of states at the Fermi level = 0.842 states/eV/atom
M_tot = 4.19 μB/cell

Lattice parameters (Å, degrees): 8.887 8.887 8.887 17.91 17.91 17.91
Each line ends with the local moment (μB).
Fractional positions:
1 Au 0.748 0.748 0.748  0.03
2 Mn 0.993 0.993 0.993  3.27
3 Mn 0.250 0.250 0.250  1.05
4 Tc 0.510 0.510 0.510  -0.27

=====

(5)
Ca2TmSe3: optimized geometry, GGA-PBE.

Calculated values
E above lowest polymorph = 0 meV/atom
SG = No. 70
energy = -121.3 eV for the cell shown
density of states at the Fermi level = 0.225 states/eV/atom
raw formation energy = -1.898 eV per atom
M_tot = 0.00 μB/cell

Lattice parameters (Å, degrees): 7.160 7.160 13.046 100.57 100.57 109.38
Fractional positions:
1 Ca 0.999 0.499 0.998
2 Ca 0.418 0.418 0.835
3 Ca 0.832 0.332 0.665
4 Ca 0.251 0.251 0.502
5 Ca 0.749 0.749 0.498
6 Ca 0.668 0.168 0.335
7 Ca 0.582 0.582 0.165
8 Ca 0.501 0.001 0.002
9 Tm 0.917 0.917 0.834
10 Tm 0.333 0.833 0.666
11 Tm 0.167 0.667 0.334
12 Tm 0.083 0.083 0.166
13 Se 0.165 0.674 0.830
14 Se 0.665 0.157 0.830
15 Se 0.085 0.076 0.670
16 Se 0.585 0.593 0.670
17 Se 0.008 0.508 0.500
18 Se 0.492 0.992 0.500
19 Se 0.407 0.415 0.330
20 Se 0.924 0.915 0.330
21 Se 0.843 0.335 0.170
22 Se 0.326 0.835 0.170
23 Se 0.242 0.242 0.000
24 Se 0.758 0.758 0.000

=====

(6)
Mg2TaN2: optimized geometry, GGA-PBE.

Calculated values
E above lowest polymorph = 328 meV/atom
SG = No. 127
energy = -55.1 eV for the cell shown
density of states at the Fermi level = 0.657 states/eV/atom
raw formation energy = 0.830 eV per atom
M_tot = 0.00 μB/cell

Lattice parameters (Å, degrees): 6.482 6.482 2.818 90.00 90.00 90.00
Fractional positions:
1 Mg 0.370 0.870 0.000
2 Mg 0.870 0.630 0.000
3 Mg 0.630 0.130 0.000
4 Mg 0.130 0.370 0.000
5 N 0.177 0.677 0.500
6 N 0.677 0.823 0.500
7 N 0.823 0.323 0.500
8 N 0.323 0.177 0.500
9 Ta 0.000 0.000 0.000
10 Ta 0.500 0.500 0.000

=====

(7)
Cd6In4Pb: optimized geometry, GGA-PBE.

Calculated values
SG = No. 63
ΔE_f = 0.07 eV per atom
energy = -38.9 eV for the cell shown
density of states at the Fermi level = 0.405 states/eV/atom
M_tot = 0.00 μB/cell

Lattice parameters (Å, degrees): 5.703 5.510 21.666 90.00 90.00 121.17
Fractional positions:
1 Cd 0.500 0.000 0.000
2 Cd 0.500 0.000 0.500
3 Cd 0.009 0.019 0.330
4 Cd 0.991 0.981 0.670
5 Cd 0.991 0.981 0.830
6 Cd 0.009 0.019 0.170
7 Cd 0.728 0.456 0.396
8 Cd 0.272 0.544 0.604
9 Cd 0.272 0.544 0.896
10 Cd 0.728 0.456 0.104
11 Cd 0.270 0.540 0.250
12 Cd 0.730 0.460 0.750
13 In 0.846 0.693 0.530
14 In 0.397 0.795 0.128
15 In 0.154 0.307 0.470
16 In 0.603 0.205 0.872
17 In 0.846 0.693 0.970
18 In 0.154 0.307 0.030
19 In 0.603 0.205 0.628
20 In 0.397 0.795 0.372
21 Pb 0.620 0.239 0.250
22 Pb 0.380 0.761 0.750

=====

(8)
Ba3AsI: optimized geometry, GGA-PBE.

Calculated values
E above lowest polymorph = 0 meV/atom
SG = No. 12
energy = -35.0 eV for the cell shown
density of states at the Fermi level = 0.617 states/eV/atom
raw formation energy = -1.103 eV per atom
M_tot = 0.62 μB/cell

Lattice parameters (Å, degrees): 4.786 12.774 13.011 39.09 79.40 79.20
Fractional positions:
1 Ba 0.915 0.392 0.778
2 Ba 0.085 0.608 0.222
3 Ba 0.581 0.055 0.783
4 Ba 0.419 0.945 0.217
5 Ba 0.756 0.284 0.205
6 Ba 0.244 0.716 0.795
7 As 0.338 0.329 0.995
8 As 0.662 0.671 0.005
9 I 0.168 0.164 0.499
10 I 0.832 0.836 0.501

=====

(9)
La5TbMg6: optimized geometry, GGA-PBE.

Calculated values
SG = No. 10
ΔE_f = -0.11 eV per atom
energy = -40.1 eV for the cell shown
density of states at the Fermi level = 1.169 states/eV/atom
M_tot = 0.00 μB/cell

Lattice parameters (Å, degrees): 5.558 7.895 8.795 90.00 71.51 90.00
Fractional positions:
1 Mg 0.836 0.756 0.328
2 Mg 0.836 0.244 0.328
3 Mg 0.500 0.246 0.000
4 Mg 0.500 0.754 0.000
5 Mg 0.164 0.756 0.672
6 Mg 0.164 0.244 0.672
7 Tb 0.000 0.000 0.000
8 La 0.670 0.500 0.661
9 La 0.335 0.000 0.330
10 La 0.000 0.500 0.000
11 La 0.665 0.000 0.670
12 La 0.330 0.500 0.339

=====

(10)
CoNiHPd2: optimized geometry, GGA-PBE.

Calculated values
E above lowest polymorph = 0 meV/atom
SG = No. 123
energy = -26.3 eV for the cell shown
density of states at the Fermi level = 1.422 states/eV/atom
M_tot = 3.10 μB/cell

Lattice parameters (Å, degrees): 3.949 3.949 3.621 90.00 90.00 90.00
Each line ends with the local moment (μB).
Fractional positions:
1 Ni 0.000 0.000 0.500  0.60
2 Co 0.500 0.500 0.500  2.10
3 Pd 0.000 0.500 0.000  0.23
4 Pd 0.500 0.000 0.000  0.23
5 H 0.000 0.000 0.000  0.00

=====

(11)
LaZnRh: optimized geometry, GGA-PBE.

Calculated values
SG = No. 62
ΔE_f = -0.68 eV per atom
energy = -62.4 eV for the cell shown
density of states at the Fermi level = 0.429 states/eV/atom
M_tot = 0.00 μB/cell

Lattice parameters (Å, degrees): 4.173 7.180 8.370 90.00 90.00 90.00
Fractional positions:
1 Zn 0.750 0.366 0.561
2 Zn 0.250 0.634 0.439
3 Zn 0.250 0.134 0.061
4 Zn 0.750 0.866 0.939
5 Rh 0.250 0.758 0.121
6 Rh 0.250 0.258 0.379
7 Rh 0.750 0.242 0.879
8 Rh 0.750 0.742 0.621
9 La 0.250 0.538 0.812
10 La 0.750 0.962 0.312
11 La 0.750 0.462 0.188
12 La 0.250 0.038 0.688

=====

(12)
CaPrErAl: optimized geometry, GGA-PBE.

Calculated values
SG = No. 216
ΔE_f = -0.06 eV per atom
energy = -15.3 eV for the cell shown
density of states at the Fermi level = 0.710 states/eV/atom
M_tot = 0.00 μB/cell

Lattice parameters (Å, degrees): 5.452 5.452 5.452 60.00 60.00 60.00
Fractional positions:
1 Pr 0.000 0.000 0.000
2 Ca 0.250 0.250 0.250
3 Al 0.750 0.750 0.750
4 Er 0.500 0.500 0.500

=====

(13)
Ga3SiAu: optimized geometry, GGA-PBE.

Calculated values
E above lowest polymorph = 134 meV/atom
SG = No. 221
energy = -15.2 eV for the cell shown
density of states at the Fermi level = 0.754 states/eV/atom
raw formation energy = 0.513 eV per atom
M_tot = 0.00 μB/cell

Lattice parameters (Å, degrees): 4.955 4.955 4.955 90.00 90.00 90.00
Fractional positions:
1 Si 0.500 0.500 0.500
2 Au 0.000 0.000 0.000
3 Ga 0.000 0.500 0.000
4 Ga 0.000 0.000 0.500
5 Ga 0.500 0.000 0.000

=====

(14)
TmMnNi2: optimized geometry, GGA-PBE.

Calculated values
E above lowest polymorph = 92 meV/atom
SG = No. 51
ΔE_f = -0.09 eV per atom
energy = -102.3 eV for the cell shown
density of states at the Fermi level = 0.857 states/eV/atom
M_tot = 14.88 μB/cell

Lattice parameters (Å, degrees): 4.616 4.799 11.805 90.00 90.00 90.00
Each line ends with the local moment (μB).
Fractional positions:
1 Tm 0.000 0.250 0.698  -0.19
2 Tm 0.500 0.750 0.090  -0.08
3 Tm 0.000 0.750 0.302  -0.19
4 Tm 0.500 0.250 0.910  -0.08
5 Mn 0.500 0.750 0.676  3.33
6 Mn 0.500 0.250 0.324  3.33
7 Mn 0.000 0.250 0.455  3.26
8 Mn 0.000 0.750 0.545  3.26
9 Ni 0.000 0.000 0.000  0.01
10 Ni 0.500 0.500 0.500  0.59
11 Ni 0.243 0.750 0.846  0.16
12 Ni 0.757 0.250 0.154  0.16
13 Ni 0.757 0.750 0.846  0.16
14 Ni 0.243 0.250 0.154  0.16
15 Ni 0.000 0.500 0.000  0.01
16 Ni 0.500 0.000 0.500  0.59

=====

(15)
Ca2Ga2SiH2O8: optimized geometry, GGA-PBE.

Calculated values
E above lowest polymorph = 0 meV/atom
SG = No. 121
energy = -192.3 eV for the cell shown
density of states at the Fermi level = 0.000 states/eV/atom
M_tot = 0.02 μB/cell

Lattice parameters (Å, degrees): 7.823 7.823 7.823 109.48 109.48 109.46
Fractional positions:
1 Ca 0.997 0.719 0.000
2 Ca 0.281 0.281 0.278
3 Ca 0.719 0.997 0.000
4 Ca 0.003 0.003 0.722
5 Ga 0.500 0.756 0.256
6 Ga 0.244 0.500 0.744
7 Ga 0.756 0.500 0.256
8 Ga 0.500 0.244 0.744
9 Si 0.250 0.750 0.500
10 Si 0.750 0.250 0.500
11 H 0.342 0.974 0.000
12 H 0.974 0.342 0.000
13 H 0.658 0.658 0.632
14 H 0.026 0.026 0.368
15 O 0.440 0.740 0.000
16 O 0.023 0.734 0.463
17 O 0.002 0.230 0.000
18 O 0.266 0.729 0.290
19 O 0.440 0.977 0.710
20 O 0.230 0.002 0.000
21 O 0.998 0.998 0.228
22 O 0.271 0.560 0.537
23 O 0.560 0.560 0.300
24 O 0.740 0.440 0.000
25 O 0.260 0.260 0.700
26 O 0.729 0.267 0.290
27 O 0.770 0.770 0.772
28 O 0.561 0.271 0.538
29 O 0.733 0.023 0.462
30 O 0.977 0.439 0.710

=====

(16)
NbSeSBr2: optimized geometry, GGA-PBE.

Calculated values
E above lowest polymorph = 0 meV/atom
SG = No. 123
energy = -20.3 eV for the cell shown
density of states at the Fermi level = 1.192 states/eV/atom
raw formation energy = 0.152 eV per atom
M_tot = 1.74 μB/cell

Lattice parameters (Å, degrees): 5.211 5.211 4.999 90.00 90.00 90.00
Each line ends with the local moment (μB).
Fractional positions:
1 S 0.500 0.500 0.500  0.96
2 Nb 0.000 0.000 0.000  -0.06
3 Se 0.000 0.000 0.500  0.07
4 Br 0.000 0.500 0.000  0.06
5 Br 0.500 0.000 0.000  0.06

=====

(17)
SrTaO3: optimized geometry, GGA-PBE.

Calculated values
SG = No. 119
energy = -74.2 eV for the cell shown
density of states at the Fermi level = 0.324 states/eV/atom
raw formation energy = -1.740 eV per atom
M_tot = 1.06 μB/cell

Lattice parameters (Å, degrees): 4.106 4.106 10.772 79.01 79.01 90.00
Each line ends with the local moment (μB).
Fractional positions:
1 Sr 0.640 0.140 0.720  0.01
2 Sr 0.860 0.360 0.280  0.02
3 O 0.186 0.923 0.153  0.01
4 O 0.077 0.814 0.847  0.01
5 O 0.077 0.339 0.847  0.01
6 O 0.661 0.923 0.153  0.01
7 O 0.252 0.252 0.496  -0.02
8 O 0.748 0.748 0.504  -0.03
9 Ta 0.000 0.000 0.000  0.15
10 Ta 0.250 0.750 0.500  0.48

=====

(18)
CaCe2C: optimized geometry, GGA-PBE.

Calculated values
E above lowest polymorph = 43 meV/atom
SG = No. 166
ΔE_f = -0.01 eV per atom
energy = -23.1 eV for the cell shown
density of states at the Fermi level = 2.266 states/eV/atom
M_tot = 1.49 μB/cell

Lattice parameters (Å, degrees): 3.551 3.551 10.287 80.06 80.06 60.00
Each line ends with the local moment (μB).
Fractional positions:
1 Ca 0.000 0.000 0.000  0.01
2 C 0.500 0.500 0.500  -0.03
3 Ce 0.120 0.120 0.641  0.56
4 Ce 0.880 0.880 0.359  0.56

=====

(19)
YSi3Au: optimized geometry, GGA-PBE.

Calculated values
SG = No. 221
energy = -23.4 eV for the cell shown
density of states at the Fermi level = 0.907 states/eV/atom
raw formation energy = 0.515 eV per atom
M_tot = 0.00 μB/cell

Lattice parameters (Å, degrees): 4.888 4.888 4.888 90.00 90.00 90.00
Fractional positions:
1 Y 0.500 0.500 0.500
2 Si 0.000 0.500 0.000
3 Si 0.000 0.000 0.500
4 Si 0.500 0.000 0.000
5 Au 0.000 0.000 0.000

=====

(20)
Ac12Nd5Tm2: optimized geometry, GGA-PBE.

Calculated values
SG = No. 12
ΔE_f = 0.12 eV per atom
energy = -79.8 eV for the cell shown
density of states at the Fermi level = 1.478 states/eV/atom
M_tot = 0.00 μB/cell

Lattice parameters (Å, degrees): 6.667 11.466 11.466 66.32 79.08 79.08
Fractional positions:
1 Ac 0.018 0.893 0.893
2 Ac 0.202 0.545 0.065
3 Ac 0.202 0.065 0.545
4 Ac 0.629 0.652 0.146
5 Ac 0.629 0.146 0.652
6 Ac 0.273 0.439 0.439
7 Ac 0.727 0.561 0.561
8 Ac 0.371 0.348 0.854
9 Ac 0.371 0.854 0.348
10 Ac 0.798 0.455 0.935
11 Ac 0.798 0.935 0.455
12 Ac 0.982 0.107 0.107
13 Nd 0.433 0.214 0.214
14 Nd 0.858 0.314 0.314
15 Nd 0.500 0.000 0.000
16 Nd 0.142 0.686 0.686
17 Nd 0.567 0.786 0.786
18 Tm 0.000 0.242 0.758
19 Tm 0.000 0.758 0.242